No. 1
Entry from Alexandria: an optimized crystal structure of CaCr2W (PBE).

abc: 4.432 4.432 6.130
angles: 96.53 96.53 39.12
Positions (direct):
1 Ca 0.000 0.000 0.000
2 Cr 0.232 0.232 0.670
3 Cr 0.768 0.768 0.330
4 W 0.500 0.500 0.500

space-group type = C2/m (12)
ΔH_f (0 K) = 3.1 eV/f.u.
energy above the lowest structure with this stoichiometry = 237 meV per atom


No. 2
Entry from Alexandria: an optimized crystal structure of CsTcMo (PBE).

abc: 4.081 4.865 11.479
angles: 84.24 88.02 76.32
Positions (direct):
1 Cs 0.000 0.000 0.000
2 Cs 0.464 0.407 0.385
3 Tc 0.060 0.933 0.612
4 Tc 0.544 0.004 0.721
5 Mo 0.431 0.507 0.784
6 Mo 0.928 0.441 0.663

space-group type = P1 (1)
ΔH_f (0 K) = 2.5 eV/f.u.
energy above the lowest structure with this stoichiometry = 124 meV per atom


No. 3
Entry from Alexandria: an optimized crystal structure of AcCl2F3 (PBE).

abc: 8.963 8.963 4.610
angles: 96.40 96.40 46.03
Positions (direct):
1 Ac 0.228 0.772 0.750
2 Ac 0.772 0.228 0.250
3 Cl 0.277 0.328 0.571
4 Cl 0.328 0.277 0.071
5 Cl 0.672 0.723 0.929
6 Cl 0.723 0.672 0.429
7 F 0.007 0.147 0.909
8 F 0.147 0.007 0.409
9 F 0.408 0.592 0.250
10 F 0.592 0.408 0.750
11 F 0.853 0.993 0.591
12 F 0.993 0.853 0.091

space-group type = C2/c (15)
raw formation energy = -245.58 kJ/mol of atoms


No. 4
Entry from Alexandria: an optimized crystal structure of Er2PuScS4 (PBE).

abc: 6.664 3.837 6.670
angles: 90.00 109.21 90.00
Positions (direct):
1 Er 0.000 0.000 0.000
2 Er 0.000 0.500 0.500
3 Pu 0.500 0.000 0.500
4 Sc 0.500 0.500 0.000
5 S 0.249 0.500 0.242
6 S 0.255 0.000 0.760
7 S 0.745 0.000 0.240
8 S 0.751 0.500 0.758

space-group type = P2/m (10)
raw formation energy = -182.95 kJ/mol of atoms


No. 5
Entry from Alexandria: an optimized crystal structure of Hf2MgCr (PBE).

abc: 3.219 3.219 7.578
angles: 90.00 90.00 90.00
Positions (direct):
1 Hf 0.000 0.000 0.201
2 Hf 0.000 0.000 0.799
3 Mg 0.500 0.500 0.500
4 Cr 0.500 0.500 0.000

space-group type = P4/mmm (123)
ΔH_f (0 K) = 0.4 eV/f.u.


No. 6
Entry from Alexandria: an optimized crystal structure of CsCd2InRu (PBE).

abc: 5.422 5.422 5.230
angles: 90.00 90.00 90.00
Positions (direct):
1 Cs 0.000 0.000 0.000
2 Cd 0.000 0.500 0.500
3 Cd 0.500 0.000 0.500
4 In 0.500 0.500 0.000
5 Ru 0.500 0.500 0.500

space-group type = P4/mmm (123)
ΔH_f (0 K) = 0.5 eV/f.u.


No. 7
Entry from Alexandria: an optimized crystal structure of NdNiGeN (PBE).

abc: 3.784 3.784 8.724
angles: 90.00 90.00 90.00
Positions (direct):
1 Nd 0.250 0.250 0.150
2 Nd 0.750 0.750 0.850
3 Ni 0.250 0.750 0.500
4 Ni 0.750 0.250 0.500
5 Ge 0.250 0.250 0.657
6 Ge 0.750 0.750 0.343
7 N 0.250 0.250 0.877
8 N 0.750 0.750 0.123

space-group type = P4/nmm (129)
raw formation energy = -79.66 kJ/mol of atoms


No. 8
Entry from Alexandria: an optimized crystal structure of LaNiMo2 (PBE).

abc: 4.660 4.660 4.660
angles: 60.00 60.00 60.00
Positions (direct):
1 La 0.000 0.000 0.000
2 Ni 0.250 0.250 0.250
3 Mo 0.500 0.500 0.500
4 Mo 0.750 0.750 0.750

space-group type = F-43m (216)
ΔH_f (0 K) = 1.6 eV/f.u.
energy above the lowest structure with this stoichiometry = 192 meV per atom


No. 9
Entry from Alexandria: an optimized crystal structure of Ga3PdC (PBE).

abc: 4.811 4.811 4.811
angles: 90.00 90.00 90.00
Positions (direct):
1 Ga 0.000 0.000 0.500
2 Ga 0.000 0.500 0.000
3 Ga 0.500 0.000 0.000
4 Pd 0.000 0.000 0.000
5 C 0.500 0.500 0.500

space-group type = Pm-3m (221)
ΔH_f (0 K) = 5.6 eV/f.u.
energy above the lowest structure with this stoichiometry = 571 meV per atom


No. 10
Entry from Alexandria: an optimized crystal structure of NaHgC2O6 (PBE).

abc: 6.580 6.580 6.485
angles: 100.92 100.92 99.25
Positions (direct):
1 Na 0.139 0.861 0.750
2 Na 0.861 0.139 0.250
3 Hg 0.352 0.648 0.250
4 Hg 0.648 0.352 0.750
5 C 0.155 0.359 0.761
6 C 0.359 0.155 0.261
7 C 0.641 0.845 0.739
8 C 0.845 0.641 0.239
9 O 0.030 0.718 0.363
10 O 0.197 0.548 0.878
11 O 0.238 0.292 0.260
12 O 0.282 0.970 0.137
13 O 0.292 0.238 0.760
14 O 0.452 0.803 0.622
15 O 0.548 0.197 0.378
16 O 0.708 0.762 0.240
17 O 0.718 0.030 0.863
18 O 0.762 0.708 0.740
19 O 0.803 0.452 0.122
20 O 0.970 0.282 0.637

space-group type = C2/c (15)
raw formation energy = -110.40 kJ/mol of atoms


No. 11
Entry from Alexandria: an optimized crystal structure of Si2Pd5 (PBE).

abc: 7.155 7.155 5.594
angles: 97.02 97.02 47.98
Positions (direct):
1 Si 0.122 0.654 0.935
2 Si 0.346 0.878 0.565
3 Si 0.654 0.122 0.435
4 Si 0.878 0.346 0.065
5 Pd 0.043 0.957 0.250
6 Pd 0.151 0.292 0.800
7 Pd 0.281 0.538 0.539
8 Pd 0.292 0.151 0.300
9 Pd 0.462 0.719 0.961
10 Pd 0.538 0.281 0.039
11 Pd 0.708 0.849 0.700
12 Pd 0.719 0.462 0.461
13 Pd 0.849 0.708 0.200
14 Pd 0.957 0.043 0.750

space-group type = C2/c (15)
raw formation energy = -57.69 kJ/mol of atoms


No. 12
Entry from Alexandria: an optimized crystal structure of Sc2CrFe (PBE).

abc: 4.536 4.536 4.536
angles: 60.00 60.00 60.00
Positions (direct):
1 Sc 0.000 0.000 0.000
2 Sc 0.250 0.250 0.250
3 Cr 0.750 0.750 0.750
4 Fe 0.500 0.500 0.500

space-group type = F-43m (216)
ΔH_f (0 K) = 1.3 eV/f.u.
energy above the lowest structure with this stoichiometry = 247 meV per atom